AgGeWO6: relaxed, PBE with a Hubbard U.

The structure in POSCAR format:
```
AgGeWO6
1.0
5.170 0.000 0.000
-2.585 4.478 0.000
0.000 0.000 9.658
Ag Ge W O
2 2 2 12
Direct
0.000 0.000 0.000 Ag
0.000 0.000 0.500 Ag
0.333 0.667 0.250 Ge
0.667 0.333 0.750 Ge
0.333 0.667 0.750 W
0.667 0.333 0.250 W
0.005 0.376 0.141 O
0.005 0.629 0.359 O
0.371 0.376 0.359 O
0.371 0.995 0.141 O
0.376 0.005 0.641 O
0.376 0.371 0.859 O
0.624 0.629 0.141 O
0.624 0.995 0.359 O
0.629 0.005 0.859 O
0.629 0.624 0.641 O
0.995 0.371 0.641 O
0.995 0.624 0.859 O
```

Calculated values
Calculated total energy = -6.265 eV per atom
Density of states at the Fermi level = 3.9 states/eV/f.u.
Space group = P-31c, No. 163